Entry 1:
KRe: optimized geometry, PBE-GGA.

POSCAR file:
```
KRe
1.0
-3.343 4.415 -8.695
6.469 -5.875 -5.470
-7.298 -7.230 -0.865
K Re
8 8
direct
0.215 0.215 0.215
0.215 0.785 0.785
0.785 0.215 0.785
0.785 0.785 0.215
0.715 0.715 0.715
0.715 0.285 0.285
0.285 0.715 0.285
0.285 0.285 0.715
0.417 0.417 0.417
0.417 0.583 0.583
0.583 0.417 0.583
0.583 0.583 0.417
0.917 0.917 0.917
0.917 0.083 0.083
0.083 0.917 0.083
0.083 0.083 0.917
```

Summary:
Formation enthalpy at 0 K in eV/atom: 1.762
DFT total energy in eV/cell: -80.17

***

Entry 2:
La2Sn4Pt3Au: optimized geometry, PBE-GGA.

POSCAR file:
```
La2Sn4Pt3Au
1.0
-2.732 -1.668 -3.417
-3.264 -1.131 3.162
-4.466 9.671 -1.150
La Sn Pt Au
2 4 3 1
direct
0.500 0.000 0.258
0.000 0.500 0.742
0.500 0.500 0.000
0.000 0.000 0.000
0.500 0.000 0.633
0.000 0.500 0.367
0.000 0.000 0.500
0.500 0.000 0.876
0.000 0.500 0.124
0.500 0.500 0.500
```

Summary:
Formation enthalpy at 0 K in eV/atom: -0.849
DFT total energy in eV/cell: -55.75

***

Entry 3:
KTl2Sn2: optimized geometry, PBE-GGA.

POSCAR file:
```
KTl2Sn2
1.0
-2.359 -1.486 4.645
4.856 -0.240 2.390
0.759 4.801 5.081
K Tl Sn
1 2 2
direct
0.000 0.000 0.000
0.750 0.250 0.500
0.250 0.750 0.500
0.378 0.378 0.244
0.622 0.622 0.756
```

Summary:
Formation enthalpy at 0 K in eV/atom: -0.097
DFT total energy in eV/cell: -14.32

***

Entry 4:
Cs6Cd2AuF: optimized geometry, PBE-GGA.

POSCAR file:
```
Cs6Cd2AuF
1.0
-4.598 -4.898 -5.820
7.483 -5.936 -0.916
-4.643 -7.338 9.622
Cs Cd Au F
12 4 2 2
direct
0.292 0.682 0.039
0.792 0.818 0.539
0.708 0.318 0.961
0.208 0.182 0.461
0.324 0.713 0.459
0.824 0.787 0.959
0.676 0.287 0.541
0.176 0.213 0.041
0.919 0.511 0.232
0.419 0.989 0.732
0.081 0.489 0.768
0.581 0.011 0.268
0.036 0.919 0.250
0.536 0.581 0.750
0.964 0.081 0.750
0.464 0.419 0.250
0.500 0.000 0.000
0.000 0.500 0.500
0.500 0.000 0.500
0.000 0.500 0.000
```

Summary:
DFT total energy in eV/cell: -35.21